1.
The following is a PBE calculation of an optimized crystal structure of NpNiSe2, from the Alexandria database.

Summary:
V = 25.358 A^3/atom
SG = R3m, No. 160
crystal system = trigonal
relative energy among the computed polymorphs = 0.39 eV/f.u.
raw formation energy = -64.64 kJ per mole of atoms
DOS(E_F) = 11.28 states/eV/cell

a = 7.723 Å, b = 7.723 Å, c = 7.723 Å
α = 29.91°, β = 29.91°, γ = 29.91°
Sites, in units of the cell vectors:
Np 0.000 0.000 0.000
Ni 0.742 0.742 0.742
Se 0.260 0.260 0.260
Se 0.428 0.428 0.428

---

2.
The following is a PBE calculation of an optimized crystal structure of TiBe9V2, from the Alexandria database.

Summary:
V = 9.491 A^3/atom
SG = R-3m, No. 166
crystal system = trigonal
formation energy from the elements = -0.237 eV/atom
relative energy among the computed polymorphs = 0.00 eV/f.u.
DOS(E_F) = 4.98 states/eV/cell

a = 7.339 Å, b = 7.339 Å, c = 7.339 Å
α = 34.63°, β = 34.63°, γ = 34.63°
Sites, in units of the cell vectors:
Ti 0.000 0.000 0.000
Be 0.079 0.587 0.587
Be 0.335 0.335 0.335
Be 0.413 0.413 0.921
Be 0.413 0.921 0.413
Be 0.500 0.500 0.500
Be 0.587 0.079 0.587
Be 0.587 0.587 0.079
Be 0.665 0.665 0.665
Be 0.921 0.413 0.413
V 0.144 0.144 0.144
V 0.856 0.856 0.856

---

3.
The following is a PBE calculation of an optimized crystal structure of Ca4Zn3Rh2, from the Alexandria database.

Summary:
V = 23.641 A^3/atom
SG = C2/m, No. 12
crystal system = monoclinic
formation energy from the elements = -0.396 eV/atom
DOS(E_F) = 5.32 states/eV/cell

a = 8.065 Å, b = 8.065 Å, c = 7.056 Å
α = 108.83°, β = 108.83°, γ = 29.45°
Sites, in units of the cell vectors:
Ca 0.074 0.074 0.364
Ca 0.271 0.271 0.818
Ca 0.729 0.729 0.182
Ca 0.926 0.926 0.636
Zn 0.403 0.403 0.271
Zn 0.500 0.500 0.000
Zn 0.597 0.597 0.729
Rh 0.095 0.095 0.947
Rh 0.905 0.905 0.053

---

4.
The following is a PBE calculation of an optimized crystal structure of HfTa2Ni2, from the Alexandria database.

Summary:
V = 16.118 A^3/atom
SG = P4/mbm, No. 127
crystal system = tetragonal
formation energy from the elements = 0.040 eV/atom
relative energy among the computed polymorphs = 0.93 eV/f.u.
DOS(E_F) = 10.67 states/eV/cell

a = 7.678 Å, b = 7.678 Å, c = 2.734 Å
α = 90.00°, β = 90.00°, γ = 90.00°
Sites, in units of the cell vectors:
Hf 0.000 0.000 0.000
Hf 0.500 0.500 0.000
Ta 0.129 0.371 0.000
Ta 0.371 0.871 0.000
Ta 0.629 0.129 0.000
Ta 0.871 0.629 0.000
Ni 0.170 0.670 0.500
Ni 0.330 0.170 0.500
Ni 0.670 0.830 0.500
Ni 0.830 0.330 0.500

---

5.
The following is a PBE calculation of an optimized crystal structure of Tb6SmEr, from the Alexandria database.

Summary:
V = 31.944 A^3/atom
SG = P4/mmm, No. 123
crystal system = tetragonal
formation energy from the elements = 0.020 eV/atom
relative energy among the computed polymorphs = 0.00 eV/f.u.
DOS(E_F) = 12.51 states/eV/cell

a = 5.038 Å, b = 5.038 Å, c = 10.069 Å
α = 90.00°, β = 90.00°, γ = 90.00°
Sites, in units of the cell vectors:
Tb 0.000 0.000 0.000
Tb 0.000 0.000 0.500
Tb 0.000 0.500 0.248
Tb 0.000 0.500 0.752
Tb 0.500 0.000 0.248
Tb 0.500 0.000 0.752
Sm 0.500 0.500 0.500
Er 0.500 0.500 0.000

---

6.
The following is a PBE calculation of an optimized crystal structure of PaTePdSe, from the Alexandria database.

Summary:
V = 22.404 A^3/atom
SG = P4/nmm, No. 129
crystal system = tetragonal
raw formation energy = -83.77 kJ per mole of atoms
DOS(E_F) = 10.48 states/eV/cell

a = 4.503 Å, b = 4.503 Å, c = 8.840 Å
α = 90.00°, β = 90.00°, γ = 90.00°
Sites, in units of the cell vectors:
Pa 0.250 0.250 0.214
Pa 0.750 0.750 0.786
Te 0.250 0.250 0.682
Te 0.750 0.750 0.318
Pd 0.250 0.750 0.500
Pd 0.750 0.250 0.500
Se 0.250 0.750 0.000
Se 0.750 0.250 0.000

---

- What is the formula in the second record?
  TiBe9V2

---

Copy entry 1 word for word.
The following is a PBE calculation of an optimized crystal structure of NpNiSe2, from the Alexandria database.

Summary:
V = 25.358 A^3/atom
SG = R3m, No. 160
crystal system = trigonal
relative energy among the computed polymorphs = 0.39 eV/f.u.
raw formation energy = -64.64 kJ per mole of atoms
DOS(E_F) = 11.28 states/eV/cell

a = 7.723 Å, b = 7.723 Å, c = 7.723 Å
α = 29.91°, β = 29.91°, γ = 29.91°
Sites, in units of the cell vectors:
Np 0.000 0.000 0.000
Ni 0.742 0.742 0.742
Se 0.260 0.260 0.260
Se 0.428 0.428 0.428